1.
The following is a DFT calculation (PBE-GGA) of a relaxed BaNa2Cd6 crystal.

* symmetry: P6/mmm
* N(E_F): 4.6 states/eV per cell
* total energy: -1.264 eV/atom
* magnetic moment: 0.0 μB per formula unit
* energy above the most stable polymorph in this dataset: 0 meV per atom
* E_form: -1.33 eV/f.u.

abc: 8.970 8.970 3.714
angles: 90.00 90.00 120.00
Fractional positions:
Ba: 0.000 0.000 0.000
Na: 0.333 0.667 0.000
Na: 0.667 0.333 0.000
Cd: 0.000 0.340 0.500
Cd: 0.000 0.660 0.500
Cd: 0.340 0.000 0.500
Cd: 0.340 0.340 0.500
Cd: 0.660 0.000 0.500
Cd: 0.660 0.660 0.500

2.
The following is a DFT calculation (PBE-GGA) of a relaxed LiPIrSe2 crystal.

* symmetry: P4/mmm
* N(E_F): 3.7 states/eV per cell
* total energy: -4.293 eV/atom
* magnetic moment: 0.7 μB per formula unit
* formation energy without anion corrections: 163 kJ/mol of formula units

abc: 5.053 5.053 4.376
angles: 90.00 90.00 90.00
Fractional positions:
Li: 0.000 0.000 0.000
P: 0.500 0.500 0.500
Ir: 0.500 0.500 0.000
Se: 0.000 0.500 0.500
Se: 0.500 0.000 0.500

3.
The following is a DFT calculation (PBE-GGA) of a relaxed TlZn2Cr2 crystal.

* symmetry: P4/mbm
* N(E_F): 6.2 states/eV per cell
* total energy: -4.381 eV/atom
* magnetic moment: 0.0 μB per formula unit
* energy above the most stable polymorph in this dataset: 0 meV per atom
* E_form: 2.25 eV/f.u.

abc: 6.872 6.872 3.386
angles: 90.00 90.00 90.00
Fractional positions:
Tl: 0.000 0.000 0.000
Tl: 0.500 0.500 0.000
Zn: 0.185 0.315 0.500
Zn: 0.315 0.815 0.500
Zn: 0.685 0.185 0.500
Zn: 0.815 0.685 0.500
Cr: 0.102 0.602 0.000
Cr: 0.398 0.102 0.000
Cr: 0.602 0.898 0.000
Cr: 0.898 0.398 0.000

4.
The following is a DFT calculation (PBE-GGA) of a relaxed PuScBi2 crystal.

* symmetry: Fm-3m
* N(E_F): 12.4 states/eV per cell
* total energy: -7.469 eV/atom
* magnetic moment: 6.0 μB per formula unit
* energy above the most stable polymorph in this dataset: 131 meV per atom
* E_form: -1.45 eV/f.u.

abc: 5.376 5.376 5.376
angles: 60.00 60.00 60.00
Fractional positions:
Pu: 0.000 0.000 0.000
Sc: 0.500 0.500 0.500
Bi: 0.250 0.250 0.250
Bi: 0.750 0.750 0.750

5.
The following is a DFT calculation (PBE-GGA) of a relaxed NiBiI3 crystal.

* symmetry: Pm-3m
* N(E_F): 4.1 states/eV per cell
* total energy: -2.712 eV/atom
* magnetic moment: 0.0 μB per formula unit
* energy above the most stable polymorph in this dataset: 0 meV per atom
* formation energy without anion corrections: 73 kJ/mol of formula units

abc: 5.280 5.280 5.280
angles: 90.00 90.00 90.00
Fractional positions:
Ni: 0.000 0.000 0.000
Bi: 0.500 0.500 0.500
I: 0.000 0.000 0.500
I: 0.000 0.500 0.000
I: 0.500 0.000 0.000

6.
The following is a DFT calculation (PBE-GGA) of a relaxed NdDy3Er6Th2 crystal.

* symmetry: C2/m
* N(E_F): 16.5 states/eV per cell
* total energy: -5.035 eV/atom
* magnetic moment: 0.0 μB per formula unit
* E_form: 0.37 eV/f.u.

abc: 6.154 6.154 11.668
angles: 95.06 95.06 119.96
Fractional positions:
Nd: 0.000 0.000 0.000
Dy: 0.166 0.834 0.500
Dy: 0.500 0.500 0.500
Dy: 0.834 0.166 0.500
Er: 0.084 0.422 0.249
Er: 0.254 0.254 0.751
Er: 0.422 0.084 0.249
Er: 0.578 0.916 0.751
Er: 0.746 0.746 0.249
Er: 0.916 0.578 0.751
Th: 0.333 0.667 0.000
Th: 0.667 0.333 0.000

7.
The following is a DFT calculation (PBE-GGA) of a relaxed LiMgNb crystal.

* symmetry: Pm
* N(E_F): 4.3 states/eV per cell
* total energy: -4.250 eV/atom
* magnetic moment: 0.0 μB per formula unit
* energy above the most stable polymorph in this dataset: 111 meV per atom
* E_form: 0.83 eV/f.u.

abc: 2.773 5.031 8.252
angles: 90.00 91.19 90.00
Fractional positions:
Li: 0.000 0.000 0.000
Li: 0.216 0.500 0.838
Mg: 0.670 0.500 0.172
Mg: 0.964 0.500 0.515
Nb: 0.255 0.000 0.351
Nb: 0.575 0.000 0.649

8.
The following is a DFT calculation (PBE-GGA) of a relaxed La4TmTe5 crystal.

* symmetry: I4/mmm
* N(E_F): 6.5 states/eV per cell
* total energy: -5.484 eV/atom
* magnetic moment: 0.0 μB per formula unit
* formation energy without anion corrections: -1442 kJ/mol of formula units

abc: 16.371 16.371 16.371
angles: 164.11 164.11 22.54
Fractional positions:
La: 0.102 0.102 0.000
La: 0.305 0.305 0.000
La: 0.695 0.695 0.000
La: 0.898 0.898 0.000
Tm: 0.500 0.500 0.000
Te: 0.000 0.000 0.000
Te: 0.203 0.203 0.000
Te: 0.406 0.406 0.000
Te: 0.594 0.594 0.000
Te: 0.797 0.797 0.000

9.
The following is a DFT calculation (PBE-GGA) of a relaxed Pu8IrRh2 crystal.

* symmetry: C2/m
* N(E_F): 43.0 states/eV per cell
* total energy: -12.760 eV/atom
* magnetic moment: 20.3 μB per formula unit
* E_form: -2.14 eV/f.u.

abc: 7.434 7.434 7.169
angles: 116.62 116.62 41.31
Fractional positions:
Pu: 0.040 0.040 0.263
Pu: 0.131 0.131 0.677
Pu: 0.330 0.330 0.592
Pu: 0.385 0.385 0.050
Pu: 0.615 0.615 0.950
Pu: 0.670 0.670 0.408
Pu: 0.869 0.869 0.323
Pu: 0.960 0.960 0.737
Ir: 0.500 0.500 0.500
Rh: 0.208 0.208 0.152
Rh: 0.792 0.792 0.848

10.
The following is a DFT calculation (PBE-GGA) of a relaxed NaLa3Pa2N6 crystal.

* symmetry: C2/m
* N(E_F): 4.9 states/eV per cell
* total energy: -8.410 eV/atom
* magnetic moment: 0.0 μB per formula unit
* formation energy without anion corrections: -1532 kJ/mol of formula units

abc: 7.985 7.985 7.341
angles: 104.34 104.34 26.50
Fractional positions:
Na: 0.000 0.000 0.000
La: 0.000 0.000 0.500
La: 0.338 0.338 0.160
La: 0.662 0.662 0.840
Pa: 0.335 0.335 0.675
Pa: 0.665 0.665 0.325
N: 0.175 0.175 0.117
N: 0.178 0.178 0.560
N: 0.478 0.478 0.719
N: 0.522 0.522 0.281
N: 0.822 0.822 0.440
N: 0.825 0.825 0.883

11.
The following is a DFT calculation (PBE-GGA) of a relaxed RbNiIr2 crystal.

* symmetry: Fm-3m
* N(E_F): 6.5 states/eV per cell
* total energy: -4.470 eV/atom
* magnetic moment: 2.8 μB per formula unit
* energy above the most stable polymorph in this dataset: 689 meV per atom
* E_form: 6.59 eV/f.u.

abc: 4.624 4.624 4.624
angles: 60.00 60.00 60.00
Fractional positions:
Rb: 0.000 0.000 0.000
Ni: 0.500 0.500 0.500
Ir: 0.250 0.250 0.250
Ir: 0.750 0.750 0.750

12.
The following is a DFT calculation (PBE-GGA) of a relaxed CeDy3Er7 crystal.

* symmetry: P3m1
* N(E_F): 19.5 states/eV per cell
* total energy: -4.492 eV/atom
* magnetic moment: 0.9 μB per formula unit
* E_form: 2.26 eV/f.u.

abc: 6.967 6.967 8.538
angles: 90.00 90.00 120.00
Fractional positions:
Ce: 0.000 0.000 0.000
Dy: 0.165 0.331 0.666
Dy: 0.165 0.835 0.666
Dy: 0.669 0.835 0.666
Er: 0.001 0.501 0.000
Er: 0.329 0.165 0.328
Er: 0.333 0.667 0.331
Er: 0.499 0.501 0.000
Er: 0.499 0.999 0.000
Er: 0.835 0.165 0.328
Er: 0.835 0.671 0.328